Density functional theory data (PBE) for a geometry-optimized DyZn6Ag12 structure.

The structure in CIF format:
```
data_DyZn6Ag12
_cell_length_a 11.7952
_cell_length_b 11.7952
_cell_length_c 8.9543
_cell_angle_alpha 90.00
_cell_angle_beta 90.00
_cell_angle_gamma 120.00
_space_group_name_H-M_alt 'R -3 m'
_space_group_IT_number 166
_space_group_name_Hall '-R 3 2"'
loop_
_atom_site_label
_atom_site_type_symbol
_atom_site_fract_x
_atom_site_fract_y
_atom_site_fract_z
_atom_site_occupancy
Dy1 Dy 0.0000 0.0000 0.0000 1
Zn1 Zn 0.0557 0.5278 0.2435 1
Ag1 Ag 0.0000 0.3841 0.5000 1
Ag2 Ag 0.0828 0.1655 0.2953 1
```

Properties
Total energy in eV per atom: -2.39
Calculated density in g/cm³: 8.539